1.
Here is a geometry-optimized H3SI structure from the Alexandria database. Energies are from GGA-PBE.

Properties
Volume = 12.44 Å³/atom
Energy above the most stable polymorph in this dataset = 1176 meV per atom

Lattice parameters (Å, degrees): 3.9624 3.9624 3.9624 90.00 90.00 90.00
Space group Pm-3m (No. 221)
Symmetry-distinct sites (fractional):
H (0.0000, 0.0000, 0.5000) [3 per cell]
S (0.5000, 0.5000, 0.5000) [1 per cell]
I (0.0000, 0.0000, 0.0000) [1 per cell]


2.
Here is a geometry-optimized HSI structure from the Alexandria database. Energies are from GGA-PBE.

Properties
Volume = 34.85 Å³/atom
Energy above the most stable polymorph in this dataset = 5 meV per atom

Lattice parameters (Å, degrees): 5.3340 6.3362 6.9292 65.23 85.39 79.53
Space group P1 (No. 1)
Symmetry-distinct sites (fractional):
H (0.0000, 0.0000, 0.0000) [1 per cell]
H (0.1524, 0.4422, 0.7295) [1 per cell]
S (0.0813, 0.1047, 0.1132) [1 per cell]
S (0.3281, 0.2931, 0.8836) [1 per cell]
I (0.5390, 0.0002, 0.6889) [1 per cell]
I (0.7431, 0.6841, 0.4967) [1 per cell]


3.
Here is a geometry-optimized H6S3I structure from the Alexandria database. Energies are from GGA-PBE.

Properties
Volume = 21.66 Å³/atom

Lattice parameters (Å, degrees): 14.3088 14.3088 3.6654 90.00 90.00 120.00
Space group R3m (No. 160, hexagonal axes)
Symmetry-distinct sites (fractional):
H (0.1042, 0.5521, 0.0000) [9 per cell]
H (0.1860, 0.3721, 0.5614) [9 per cell]
S (0.0001, 0.5001, 0.8843) [9 per cell]
I (0.0000, 0.0000, 0.5225) [3 per cell]


4.
Here is a geometry-optimized HSI3 structure from the Alexandria database. Energies are from GGA-PBE.

Properties
Volume = 40.50 Å³/atom
Energy above the most stable polymorph in this dataset = 0 meV per atom

Lattice parameters (Å, degrees): 5.0123 7.6851 11.2542 101.76 95.19 105.11
Space group P-1 (No. 2)
Symmetry-distinct sites (fractional):
H (0.1410, 0.2934, 0.3352) [2 per cell]
S (0.0515, 0.6001, 0.9628) [2 per cell]
I (0.1570, 0.9962, 0.6202) [2 per cell]
I (0.3315, 0.4937, 0.3112) [2 per cell]
I (0.4046, 0.0542, 0.8830) [2 per cell]


5.
Here is a geometry-optimized HSI structure from the Alexandria database. Energies are from GGA-PBE.

Properties
Volume = 32.68 Å³/atom
Energy above the most stable polymorph in this dataset = 70 meV per atom

Lattice parameters (Å, degrees): 4.7355 6.0579 7.0025 83.47 79.97 85.17
Space group P1 (No. 1)
Symmetry-distinct sites (fractional):
H (0.0000, 0.0000, 0.0000) [1 per cell]
H (0.0878, 0.4626, 0.5087) [1 per cell]
S (0.6153, 0.5269, 0.3579) [1 per cell]
S (0.8075, 0.4314, 0.5920) [1 per cell]
I (0.2848, 0.8579, 0.8880) [1 per cell]
I (0.5483, 0.2012, 0.1857) [1 per cell]


6.
Here is a geometry-optimized H2SI2 structure from the Alexandria database. Energies are from GGA-PBE.

Properties
Volume = 30.57 Å³/atom
Energy above the most stable polymorph in this dataset = 102 meV per atom

Lattice parameters (Å, degrees): 3.7967 6.7981 6.8423 115.39 91.88 104.06
Space group P-1 (No. 2)
Symmetry-distinct sites (fractional):
H (0.0046, 0.4940, 0.4429) [2 per cell]
S (0.0000, 0.5000, 0.0000) [1 per cell]
I (0.3494, 0.1809, 0.8043) [2 per cell]


7.
Here is a geometry-optimized HSI2 structure from the Alexandria database. Energies are from GGA-PBE.

Properties
Volume = 22.70 Å³/atom
Energy above the most stable polymorph in this dataset = 1121 meV per atom

Lattice parameters (Å, degrees): 7.1353 7.1353 7.1353 90.00 90.00 90.00
Space group Fm-3m (No. 225)
Symmetry-distinct sites (fractional):
H (0.0000, 0.0000, 0.0000) [4 per cell]
S (0.0000, 0.0000, 0.5000) [4 per cell]
I (0.2500, 0.2500, 0.2500) [8 per cell]


8.
Here is a geometry-optimized H4SI3 structure from the Alexandria database. Energies are from GGA-PBE.

Properties
Volume = 29.67 Å³/atom

Lattice parameters (Å, degrees): 6.8907 7.3243 9.4054 90.00 90.00 90.00
Space group Pmn2_1 (No. 31)
Symmetry-distinct sites (fractional):
H (0.0000, 0.0492, 0.0000) [2 per cell]
H (0.0000, 0.3686, 0.2306) [2 per cell]
H (0.1514, 0.1234, 0.8156) [4 per cell]
S (0.0000, 0.1938, 0.8963) [2 per cell]
I (0.0000, 0.8734, 0.2034) [2 per cell]
I (0.2272, 0.6377, 0.7240) [4 per cell]


9.
Here is a geometry-optimized HSI structure from the Alexandria database. Energies are from GGA-PBE.

Properties
Volume = 30.61 Å³/atom
Energy above the most stable polymorph in this dataset = 5 meV per atom

Lattice parameters (Å, degrees): 5.3733 5.4238 6.8192 78.01 74.07 76.54
Space group P-1 (No. 2)
Symmetry-distinct sites (fractional):
H (0.2375, 0.0512, 0.2674) [2 per cell]
S (0.0332, 0.9255, 0.3621) [2 per cell]
I (0.3391, 0.6855, 0.8840) [2 per cell]


10.
Here is a geometry-optimized HS3I structure from the Alexandria database. Energies are from GGA-PBE.

Properties
Volume = 27.19 Å³/atom
Energy above the most stable polymorph in this dataset = 1414 meV per atom

Lattice parameters (Å, degrees): 5.1417 5.1417 5.1417 90.00 90.00 90.00
Space group Pm-3m (No. 221)
Symmetry-distinct sites (fractional):
H (0.0000, 0.0000, 0.0000) [1 per cell]
S (0.0000, 0.5000, 0.5000) [3 per cell]
I (0.5000, 0.5000, 0.5000) [1 per cell]


11.
Here is a geometry-optimized HSI structure from the Alexandria database. Energies are from GGA-PBE.

Properties
Volume = 30.80 Å³/atom
Energy above the most stable polymorph in this dataset = 0 meV per atom

Lattice parameters (Å, degrees): 5.0950 6.1924 6.2639 96.38 101.52 104.48
Space group P1 (No. 1)
Symmetry-distinct sites (fractional):
H (0.0000, 0.0000, 0.0000) [1 per cell]
H (0.4050, 0.0884, 0.5385) [1 per cell]
S (0.1530, 0.1683, 0.1769) [1 per cell]
S (0.3689, 0.9613, 0.3379) [1 per cell]
I (0.4500, 0.4162, 0.9261) [1 per cell]
I (0.7425, 0.6989, 0.6563) [1 per cell]


12.
Here is a geometry-optimized H3S2I2 structure from the Alexandria database. Energies are from GGA-PBE.

Properties
Volume = 22.43 Å³/atom
Energy above the most stable polymorph in this dataset = 195 meV per atom

Lattice parameters (Å, degrees): 11.3659 3.1944 9.2193 90.00 110.26 90.00
Space group C2/m (No. 12)
Symmetry-distinct sites (fractional):
H (0.0000, 0.0000, 0.0000) [2 per cell]
H (0.1698, 0.5000, 0.1125) [4 per cell]
S (0.1412, 0.0000, 0.1358) [4 per cell]
I (0.0494, 0.5000, 0.3780) [4 per cell]


Calculated VASP energy (eV per atom), listed in the same order as above: -2.1135 -3.0522 -3.4617 -2.3121 -2.9880 -2.6416 -1.4448 -2.7668 -3.0522 -2.0354 -3.0576 -2.8094
Calculated M_tot (μB per formula unit), listed in the same order as above: 0.52 0.00 0.62 0.50 0.00 0.00 0.00 0.00 0.00 0.88 0.00 0.00